# 1
Compound: CuP3
Source: Alexandria
Functional: PBE-GGA
Structure: relaxed

Cell: 5.899 5.899 5.899 Å, 154.87 56.40 130.39°
Fractional positions:
Cu 0.000 0.000 0.000
P 0.133 0.791 0.342
P 0.449 0.791 0.658
P 0.590 0.090 0.500

Space-group type: No. 44
Energy above the most stable polymorph in this dataset: 79 meV per atom

# 2
Compound: CuP
Source: Alexandria
Functional: PBE-GGA
Structure: relaxed

Cell: 2.725 2.725 3.654 Å, 90.00 90.00 98.73°
Fractional positions:
Cu 0.000 0.000 0.000
P 0.500 0.500 0.500

Space-group type: No. 65

# 3
Compound: CuP2
Source: Alexandria
Functional: PBE-GGA
Structure: relaxed

Cell: 8.329 8.329 3.153 Å, 90.00 90.00 156.01°
Fractional positions:
Cu 0.115 0.885 0.750
Cu 0.885 0.115 0.250
P 0.260 0.740 0.250
P 0.451 0.549 0.750
P 0.549 0.451 0.250
P 0.740 0.260 0.750

Space-group type: No. 63

# 4
Compound: CuP
Source: Alexandria
Functional: PBE-GGA
Structure: relaxed

Cell: 4.263 4.263 4.263 Å, 60.00 60.00 60.00°
Fractional positions:
Cu 0.125 0.125 0.125
Cu 0.875 0.875 0.875
P 0.375 0.375 0.375
P 0.625 0.625 0.625

Space-group type: No. 227

# 5
Compound: CuP
Source: Alexandria
Functional: PBE-GGA
Structure: relaxed

Cell: 4.145 4.145 5.892 Å, 105.38 105.38 37.57°
Fractional positions:
Cu 0.215 0.215 0.172
Cu 0.785 0.785 0.828
P 0.033 0.033 0.699
P 0.967 0.967 0.301

Space-group type: No. 12

# 6
Compound: CuP3
Source: Alexandria
Functional: PBE-GGA
Structure: relaxed

Cell: 4.671 4.671 2.545 Å, 90.00 90.00 90.00°
Fractional positions:
Cu 0.000 0.000 0.000
P 0.000 0.500 0.500
P 0.500 0.000 0.500
P 0.500 0.500 0.000

Space-group type: No. 123
Energy above the most stable polymorph in this dataset: 356 meV per atom

# 7
Compound: CuP
Source: Alexandria
Functional: PBE-GGA
Structure: relaxed

Cell: 5.451 6.041 7.367 Å, 90.00 90.00 90.00°
Fractional positions:
Cu 0.116 0.011 0.068
Cu 0.249 0.410 0.200
Cu 0.251 0.590 0.700
Cu 0.384 0.989 0.568
Cu 0.616 0.489 0.932
Cu 0.749 0.090 0.800
Cu 0.751 0.910 0.300
Cu 0.884 0.511 0.432
P 0.075 0.241 0.644
P 0.148 0.796 0.356
P 0.352 0.204 0.856
P 0.425 0.759 0.144
P 0.575 0.259 0.356
P 0.648 0.704 0.644
P 0.852 0.296 0.144
P 0.925 0.741 0.856

Space-group type: No. 19

# 8
Compound: CuP2
Source: Alexandria
Functional: PBE-GGA
Structure: relaxed

Cell: 4.052 4.052 4.052 Å, 60.00 60.00 60.00°
Fractional positions:
Cu 0.000 0.000 0.000
P 0.250 0.250 0.250
P 0.750 0.750 0.750

Space-group type: No. 225

# 9
Compound: CuP
Source: Alexandria
Functional: PBE-GGA
Structure: relaxed

Cell: 5.557 5.557 5.557 Å, 147.80 141.89 50.73°
Fractional positions:
Cu 0.338 0.088 0.250
Cu 0.662 0.912 0.750
P 0.085 0.335 0.750
P 0.915 0.665 0.250

Space-group type: No. 74

# 10
Compound: CuP
Source: Alexandria
Functional: PBE-GGA
Structure: relaxed

Cell: 2.646 2.646 9.581 Å, 90.00 90.00 120.00°
Fractional positions:
Cu 0.333 0.667 0.110
Cu 0.667 0.333 0.890
P 0.333 0.667 0.688
P 0.667 0.333 0.312

Space-group type: No. 164

# 11
Compound: Cu5P3
Source: Alexandria
Functional: PBE-GGA
Structure: relaxed

Cell: 7.164 7.164 4.827 Å, 90.00 90.00 120.00°
Fractional positions:
Cu 0.000 0.207 0.250
Cu 0.000 0.793 0.750
Cu 0.207 0.000 0.250
Cu 0.207 0.207 0.750
Cu 0.333 0.667 0.000
Cu 0.333 0.667 0.500
Cu 0.667 0.333 0.000
Cu 0.667 0.333 0.500
Cu 0.793 0.000 0.750
Cu 0.793 0.793 0.250
P 0.000 0.385 0.750
P 0.000 0.615 0.250
P 0.385 0.000 0.750
P 0.385 0.385 0.250
P 0.615 0.000 0.250
P 0.615 0.615 0.750

Space-group type: No. 193

# 12
Compound: CuP3
Source: Alexandria
Functional: PBE-GGA
Structure: relaxed

Cell: 2.523 4.634 5.041 Å, 90.00 90.00 90.00°
Fractional positions:
Cu 0.000 0.000 0.000
P 0.000 0.000 0.500
P 0.500 0.500 0.216
P 0.500 0.500 0.784

Space-group type: No. 47
Energy above the most stable polymorph in this dataset: 442 meV per atom

# 13
Compound: CuP2
Source: Alexandria
Functional: PBE-GGA
Structure: relaxed

Cell: 5.352 5.352 8.019 Å, 105.24 105.24 27.39°
Fractional positions:
Cu 0.039 0.039 0.205
Cu 0.961 0.961 0.795
P 0.356 0.356 0.998
P 0.403 0.403 0.527
P 0.597 0.597 0.473
P 0.644 0.644 0.002

Space-group type: No. 12

# 14
Compound: CuP2
Source: Alexandria
Functional: PBE-GGA
Structure: relaxed

Cell: 3.235 3.235 9.601 Å, 90.00 90.00 120.00°
Fractional positions:
Cu 0.000 0.000 0.250
Cu 0.000 0.000 0.750
P 0.333 0.667 0.071
P 0.333 0.667 0.429
P 0.667 0.333 0.571
P 0.667 0.333 0.929

Space-group type: No. 194

# 15
Compound: PaCuP
Source: Alexandria
Functional: PBE-GGA
Structure: relaxed

Cell: 4.841 4.841 4.841 Å, 134.90 134.90 65.68°
Fractional positions:
Pa 0.000 0.000 0.000
Cu 0.337 0.337 0.000
P 0.653 0.653 0.000

Space-group type: No. 107

# 16
Compound: PaCuP2
Source: Alexandria
Functional: PBE-GGA
Structure: relaxed

Cell: 9.467 9.467 9.467 Å, 156.40 156.40 33.62°
Fractional positions:
Pa 0.109 0.109 0.000
Pa 0.891 0.891 0.000
Cu 0.250 0.750 0.500
Cu 0.750 0.250 0.500
P 0.000 0.500 0.500
P 0.332 0.332 0.000
P 0.500 0.000 0.500
P 0.668 0.668 0.000

Space-group type: No. 139

# 17
Compound: Pa2CuP3
Source: Alexandria
Functional: PBE-GGA
Structure: relaxed

Cell: 7.760 3.876 15.235 Å, 90.00 90.00 90.00°
Fractional positions:
Pa 0.083 0.250 0.217
Pa 0.247 0.250 0.964
Pa 0.253 0.750 0.464
Pa 0.417 0.750 0.717
Pa 0.583 0.250 0.283
Pa 0.747 0.250 0.536
Pa 0.753 0.750 0.036
Pa 0.917 0.750 0.783
Cu 0.115 0.250 0.633
Cu 0.385 0.750 0.133
Cu 0.615 0.250 0.867
Cu 0.885 0.750 0.367
P 0.019 0.250 0.404
P 0.110 0.750 0.076
P 0.184 0.250 0.780
P 0.316 0.750 0.280
P 0.390 0.250 0.576
P 0.481 0.750 0.904
P 0.519 0.250 0.096
P 0.610 0.750 0.424
P 0.684 0.250 0.720
P 0.816 0.750 0.220
P 0.890 0.250 0.924
P 0.981 0.750 0.596

Space-group type: No. 62

# 18
Compound: PaCuP
Source: Alexandria
Functional: PBE-GGA
Structure: relaxed

Cell: 9.048 9.048 3.838 Å, 90.00 90.00 156.74°
Fractional positions:
Pa 0.057 0.943 0.750
Pa 0.943 0.057 0.250
Cu 0.253 0.747 0.750
Cu 0.747 0.253 0.250
P 0.330 0.670 0.250
P 0.670 0.330 0.750

Space-group type: No. 63

# 19
Compound: PaCuP2
Source: Alexandria
Functional: PBE-GGA
Structure: relaxed

Cell: 4.326 4.326 3.618 Å, 90.00 90.00 90.00°
Fractional positions:
Pa 0.000 0.000 0.000
Cu 0.500 0.500 0.000
P 0.000 0.500 0.500
P 0.500 0.000 0.500

Space-group type: No. 123

# 20
Compound: PaCuP2
Source: Alexandria
Functional: PBE-GGA
Structure: relaxed

Cell: 5.007 5.007 5.007 Å, 50.29 50.29 50.29°
Fractional positions:
Pa 0.000 0.000 0.000
Cu 0.500 0.500 0.500
P 0.228 0.228 0.228
P 0.772 0.772 0.772

Space-group type: No. 166

Number 1: ΔH_f (0 K) 0.2395 eV/atom, M_tot 0.0 μB/f.u.. Number 2: ΔH_f (0 K) 0.3276 eV/atom, M_tot 0.0 μB/f.u.. Number 3: ΔH_f (0 K) 0.2968 eV/atom, M_tot 0.0 μB/f.u.. Number 4: ΔH_f (0 K) 0.4893 eV/atom, M_tot 0.0 μB/f.u.. Number 5: ΔH_f (0 K) 0.0402 eV/atom, M_tot 0.0 μB/f.u.. Number 6: ΔH_f (0 K) 0.5162 eV/atom, M_tot 0.0 μB/f.u.. Number 7: ΔH_f (0 K) 0.0454 eV/atom, M_tot 0.0 μB/f.u.. Number 8: ΔH_f (0 K) 0.3704 eV/atom, M_tot 0.0 μB/f.u.. Number 9: ΔH_f (0 K) 0.2391 eV/atom, M_tot 0.0 μB/f.u.. Number 10: ΔH_f (0 K) 0.2683 eV/atom, M_tot 0.0 μB/f.u.. Number 11: ΔH_f (0 K) 0.1913 eV/atom, M_tot 0.0 μB/f.u.. Number 12: ΔH_f (0 K) 0.6028 eV/atom, M_tot 0.0 μB/f.u.. Number 13: ΔH_f (0 K) 0.2429 eV/atom, M_tot 0.0 μB/f.u.. Number 14: ΔH_f (0 K) 0.1659 eV/atom, M_tot 0.0 μB/f.u.. Number 15: ΔH_f (0 K) -0.3217 eV/atom, M_tot 0.0 μB/f.u.. Number 16: ΔH_f (0 K) -0.7923 eV/atom, M_tot 0.0 μB/f.u.. Number 17: ΔH_f (0 K) -0.9959 eV/atom, M_tot 0.5 μB/f.u.. Number 18: ΔH_f (0 K) 0.0268 eV/atom, M_tot 0.0 μB/f.u.. Number 19: ΔH_f (0 K) -0.6633 eV/atom, M_tot 0.0 μB/f.u.. Number 20: ΔH_f (0 K) -0.5903 eV/atom, M_tot 0.0 μB/f.u..